Here is a relaxed structure of Re2PbW from Alexandria. Energies are from PBEsol.

Unit cell a=2.817 b=2.817 c=9.584 alpha=90.00 beta=90.00 gamma=111.97
Sites, in units of the cell vectors:
Re (0.500, 0.500, 0.752)
Re (0.000, 0.000, 0.966)
W (0.000, 0.000, 0.531)
Pb (0.500, 0.500, 0.251)

Summary:
Its formation energy is 0.852 eV per atom. The calculation puts the density of states at the Fermi level at 3.69 states/eV per cell. The calculation puts the calculated density at 17.977 g/cm³. As for the space group: Cmm2 (35). The total energy is -0.7545 Ry/atom.

=====

Here is a relaxed structure of RePb3W from Alexandria. Energies are from PBEsol.

Unit cell a=5.303 b=5.303 c=5.303 alpha=90.00 beta=90.00 gamma=90.00
Each line ends with the local moment (μB).
Sites, in units of the cell vectors:
Pb (0.500, 0.000, 0.000)  -0.01
Pb (0.000, 0.500, 0.000)  -0.01
Re (0.500, 0.500, 0.500)  3.62
W (0.000, 0.000, 0.000)  0.63
Pb (0.000, 0.000, 0.500)  -0.01

Summary:
Its formation energy is 1.915 eV per atom. The calculation puts the density of states at the Fermi level at 3.57 states/eV per cell. The calculation puts the calculated density at 11.042 g/cm³. As for the space group: Pm-3m (221). The total energy is -0.4346 Ry/atom.

=====

Here is a relaxed structure of Re2PbW from Alexandria. Energies are from PBEsol.

Unit cell a=3.126 b=4.414 c=4.831 alpha=90.00 beta=90.00 gamma=90.00
Sites, in units of the cell vectors:
Pb (0.000, 0.500, 0.500)
W (0.500, 0.500, 0.000)
Re (0.500, 0.000, 0.500)
Re (0.000, 0.000, 0.000)

Summary:
Its formation energy is 0.994 eV per atom. The calculation puts the density of states at the Fermi level at 2.38 states/eV per cell. The calculation puts the calculated density at 19.019 g/cm³. As for the space group: Pmmm (47). The total energy is -0.7441 Ry/atom.

=====

Copy entry 1 word for word.
Here is a relaxed structure of Re2PbW from Alexandria. Energies are from PBEsol.

Unit cell a=2.817 b=2.817 c=9.584 alpha=90.00 beta=90.00 gamma=111.97
Sites, in units of the cell vectors:
Re (0.500, 0.500, 0.752)
Re (0.000, 0.000, 0.966)
W (0.000, 0.000, 0.531)
Pb (0.500, 0.500, 0.251)

Summary:
Its formation energy is 0.852 eV per atom. The calculation puts the density of states at the Fermi level at 3.69 states/eV per cell. The calculation puts the calculated density at 17.977 g/cm³. As for the space group: Cmm2 (35). The total energy is -0.7545 Ry/atom.